A relaxed SrBe3Au crystal, computed with PBE.

The distance to the lowest polymorph of the same formula is 0.000 eV per formula unit. The crystal system is cubic. For the calculated formation energy, the calculation gives 0.150 eV/atom.

Unit cell a=4.492 b=4.492 c=4.492 alpha=90.00 beta=90.00 gamma=90.00
Space group Pm-3m (No. 221)
Unique sites:
Sr  0.000  0.000  0.000 [1 per cell]
Be  0.000  0.500  0.500 [3 per cell]
Au  0.500  0.500  0.500 [1 per cell]

---

A relaxed CePRhS crystal, computed with PBE.

The uncorrected formation energy is -1228 meV/atom. The crystal system is tetragonal.

Unit cell a=4.104 b=4.104 c=8.884 alpha=90.00 beta=90.00 gamma=90.00
Space group P4/nmm (No. 129, origin choice 2)
Unique sites:
Ce  0.250  0.250  0.204 [2 per cell]
P  0.250  0.250  0.645 [2 per cell]
Rh  0.250  0.750  0.500 [2 per cell]
S  0.250  0.750  0.000 [2 per cell]

---

A relaxed Cs5P2Br crystal, computed with PBE.

The uncorrected formation energy is -619 meV/atom. The crystal system is tetragonal.

Unit cell a=9.146 b=9.146 c=17.186 alpha=90.00 beta=90.00 gamma=90.00
Space group I4/mcm (No. 140)
Unique sites:
Cs  0.000  0.000  0.000 [4 per cell]
Cs  0.183  0.317  0.132 [16 per cell]
P  0.089  0.411  0.500 [8 per cell]
Br  0.000  0.000  0.250 [4 per cell]

---

A relaxed Li3CeIn3 crystal, computed with PBE.

The crystal system is cubic. For the calculated formation energy, the calculation gives 0.180 eV/atom.

Unit cell a=7.126 b=7.126 c=7.126 alpha=90.00 beta=90.00 gamma=90.00
Space group Pm-3n (No. 223)
Unique sites:
Li  0.000  0.250  0.500 [6 per cell]
Ce  0.000  0.000  0.000 [2 per cell]
In  0.000  0.500  0.250 [6 per cell]

---

A relaxed Zr2SnC crystal, computed with PBE.

The distance to the lowest polymorph of the same formula is 5.922 eV per formula unit. The crystal system is cubic. For the calculated formation energy, the calculation gives 0.692 eV/atom.

Unit cell a=6.670 b=6.670 c=6.670 alpha=90.00 beta=90.00 gamma=90.00
Space group Fm-3m (No. 225)
Unique sites:
Zr  0.250  0.250  0.250 [8 per cell]
Sn  0.000  0.000  0.000 [4 per cell]
C  0.000  0.000  0.500 [4 per cell]

---

A relaxed CoGeBi3 crystal, computed with PBE.

The crystal system is cubic. For the calculated formation energy, the calculation gives 0.486 eV/atom.

Unit cell a=5.122 b=5.122 c=5.122 alpha=90.00 beta=90.00 gamma=90.00
Space group Pm-3m (No. 221)
Unique sites:
Co  0.000  0.000  0.000 [1 per cell]
Ge  0.500  0.500  0.500 [1 per cell]
Bi  0.000  0.000  0.500 [3 per cell]

---

A relaxed CuGePd3 crystal, computed with PBE.

The distance to the lowest polymorph of the same formula is 3.436 eV per formula unit. The crystal system is cubic. For the calculated formation energy, the calculation gives 0.382 eV/atom.

Unit cell a=4.610 b=4.610 c=4.610 alpha=90.00 beta=90.00 gamma=90.00
Space group Pm-3m (No. 221)
Unique sites:
Cu  0.000  0.000  0.000 [1 per cell]
Ge  0.500  0.500  0.500 [1 per cell]
Pd  0.000  0.500  0.500 [3 per cell]

---

A relaxed YTmTh14 crystal, computed with PBE.

The crystal system is orthorhombic. For the calculated formation energy, the calculation gives 0.032 eV/atom.

Unit cell a=11.574 b=7.168 c=12.421 alpha=90.00 beta=90.00 gamma=90.00
Space group Amm2 (No. 38)
Unique sites:
Y  0.000  0.000  0.000 [2 per cell]
Tm  0.000  0.000  0.500 [2 per cell]
Th  0.000  0.250  0.246 [4 per cell]
Th  0.250  0.000  0.665 [4 per cell]
Th  0.250  0.250  0.415 [8 per cell]
Th  0.251  0.000  0.165 [4 per cell]
Th  0.500  0.000  0.333 [2 per cell]
Th  0.500  0.000  0.833 [2 per cell]
Th  0.500  0.250  0.082 [4 per cell]

---

For reference, density of states at the Fermi level by record: 3.955; 7.848; 11.493; 21.087; 18.830; 5.764; 4.927; 40.437 states/eV/cell.